Record 1
# GaMoSe2

An optimized crystal structure of GaMoSe2 (PBE-GGA, Alexandria via LeMat-Bulk).

## Properties
Offset from the most stable computed form, kJ/mol of formula units: 237
E_form (uncorrected), eV per atom: 0.366
SG: R-3m, No. 166
DOS at the Fermi energy, states/eV/cell: 10.34
Total DFT energy (no corrections), eV per atom: -4.841

a = 3.486 Å, b = 3.486 Å, c = 24.090 Å
α = 90.00°, β = 90.00°, γ = 120.00°
Fractional positions:
1 Ga 0.000 0.000 0.000
2 Ga 0.333 0.667 0.667
3 Ga 0.667 0.333 0.333
4 Mo 0.000 0.000 0.500
5 Mo 0.333 0.667 0.167
6 Mo 0.667 0.333 0.833
7 Se 0.000 0.000 0.400
8 Se 0.000 0.000 0.600
9 Se 0.333 0.667 0.066
10 Se 0.333 0.667 0.267
11 Se 0.667 0.333 0.733
12 Se 0.667 0.333 0.934

***

Record 2
# La2Zn3Ru

An optimized crystal structure of La2Zn3Ru (PBE-GGA, Alexandria via LeMat-Bulk).

## Properties
Offset from the most stable computed form, kJ/mol of formula units: 93
Formation energy from the elements, kcal/mol of atoms: -2.83
SG: Immm, No. 71
DOS at the Fermi energy, states/eV/cell: 5.07
Total DFT energy (no corrections), eV per atom: -3.948

a = 5.092 Å, b = 5.480 Å, c = 10.034 Å
α = 90.00°, β = 90.00°, γ = 90.00°
Fractional positions:
1 La 0.000 0.000 0.226
2 La 0.000 0.000 0.774
3 La 0.500 0.500 0.274
4 La 0.500 0.500 0.726
5 Zn 0.000 0.500 0.114
6 Zn 0.000 0.500 0.500
7 Zn 0.000 0.500 0.886
8 Zn 0.500 0.000 0.000
9 Zn 0.500 0.000 0.386
10 Zn 0.500 0.000 0.614
11 Ru 0.000 0.000 0.500
12 Ru 0.500 0.500 0.000